Arrangement A

A plane-wave DFT calculation with PBE was carried out for crystalline YTaHg2 at its relaxed geometry.

Computed properties:
* Fermi-level density of states: 1.041 states/eV per atom
* density: 12.63 g/cm³
* magnetic moment: 1.7 μB/cell

Cell lengths 4.5758, 4.5758, 8.4283 Å; angles 90.00, 90.00, 90.00 degrees
Fractional positions:
Y1 0.0000 0.0000 0.0000
Y2 0.5000 0.5000 0.5000
Ta1 0.0000 0.0000 0.5000
Ta2 0.5000 0.5000 0.0000
Hg1 0.0000 0.5000 0.2500
Hg2 0.0000 0.5000 0.7500
Hg3 0.5000 0.0000 0.2500
Hg4 0.5000 0.0000 0.7500

Arrangement B

A plane-wave DFT calculation with PBE was carried out for crystalline YTaHg2 at its relaxed geometry.

Computed properties:
* Fermi-level density of states: 0.930 states/eV per atom
* density: 12.74 g/cm³
* magnetic moment: 0.0 μB/cell

Cell lengths 3.2110, 4.1876, 6.5071 Å; angles 90.00, 90.13, 90.00 degrees
Fractional positions:
Y1 0.0000 0.0000 0.0000
Ta1 0.0000 0.0000 0.5000
Hg1 0.4993 0.5000 0.7295
Hg2 0.5007 0.5000 0.2705

Arrangement C

A plane-wave DFT calculation with PBE was carried out for crystalline YTaHg2 at its relaxed geometry.

Computed properties:
* Fermi-level density of states: 0.711 states/eV per atom
* density: 12.05 g/cm³
* magnetic moment: 11.6 μB/cell

Cell lengths 7.1787, 7.1787, 7.1787 Å; angles 90.00, 90.00, 90.00 degrees
Fractional positions:
Y1 0.0000 0.0000 0.0000
Y2 0.0000 0.5000 0.5000
Y3 0.5000 0.0000 0.5000
Y4 0.5000 0.5000 0.0000
Ta1 0.2500 0.2500 0.7500
Ta2 0.2500 0.7500 0.2500
Ta3 0.7500 0.2500 0.2500
Ta4 0.7500 0.7500 0.7500
Hg1 0.0000 0.0000 0.5000
Hg2 0.0000 0.5000 0.0000
Hg3 0.2500 0.2500 0.2500
Hg4 0.2500 0.7500 0.7500
Hg5 0.5000 0.0000 0.0000
Hg6 0.5000 0.5000 0.5000
Hg7 0.7500 0.2500 0.7500
Hg8 0.7500 0.7500 0.2500

Arrangement D

A plane-wave DFT calculation with PBE was carried out for crystalline YTaHg2 at its relaxed geometry.

Computed properties:
* Fermi-level density of states: 0.889 states/eV per atom
* density: 12.31 g/cm³
* magnetic moment: 0.0 μB/cell

Cell lengths 3.1884, 3.1884, 8.9039 Å; angles 90.00, 90.00, 90.00 degrees
Fractional positions:
Y1 0.0000 0.0000 0.0000
Ta1 0.5000 0.5000 0.7416
Hg1 0.0000 0.0000 0.5193
Hg2 0.5000 0.5000 0.2628

The structure with the greatest stability is arrangement B.